# 1
Compound: BC
Source: the Alexandria database
Functional: GGA-PBE
Structure: optimized geometry

Results
SG = Pm, No. 6
Final energy = -7.550 eV per atom
DOS at the Fermi energy = 0.122 states/eV/atom
ΔE to the lowest computed polymorph = 250 meV/atom
E_form = 401 meV per atom
Spin magnetization = 0.00 μB per formula unit

Unit cell a=2.608 b=4.737 c=6.660 alpha=90.54 beta=90.00 gamma=90.00
Positions (direct):
B 0.500 0.879 0.362
B 0.500 0.468 0.210
B 0.500 0.205 0.900
B 0.000 0.338 0.625
B 0.000 0.279 0.323
B 0.000 0.985 0.012
C 0.500 0.532 0.984
C 0.000 0.682 0.674
C 0.000 0.963 0.254
C 0.000 0.674 0.908
C 0.500 0.161 0.649
C 0.500 0.834 0.600

---

# 2
Compound: B3C7
Source: the Alexandria database
Functional: GGA-PBE
Structure: optimized geometry

Results
SG = R3m, No. 160
Final energy = -8.078 eV per atom
DOS at the Fermi energy = 0.215 states/eV/atom
ΔE to the lowest computed polymorph = 120 meV/atom
E_form = 382 meV per atom
Spin magnetization = 0.00 μB per formula unit

Unit cell a=11.017 b=11.017 c=11.017 alpha=13.49 beta=13.49 gamma=13.49
Positions (direct):
B 0.853 0.853 0.853
B 0.047 0.047 0.047
B 0.800 0.800 0.800
C 0.205 0.205 0.205
C 0.401 0.401 0.401
C 0.601 0.601 0.601
C 0.252 0.252 0.252
C 0.445 0.445 0.445
C 0.997 0.997 0.997
C 0.649 0.649 0.649